*P*
PmBiTe: optimized geometry, GGA-PBE.

```
3
Lattice="5.355 0.000 0.000 -2.677 4.637 0.000 0.000 0.000 3.936" Properties=species:S:1:pos:R:3 pbc="T T T"
Pm 0.000 0.000 0.000
Bi 0.000 3.092 3.915
Te 2.677 1.546 1.959
```

- Magnetic moment: 0.000 Bohr magnetons per cell

---

*Q*
PmBiTe: optimized geometry, GGA-PBE.

```
6
Lattice="4.095 0.000 0.000 0.000 4.095 0.000 0.000 0.000 10.847" Properties=species:S:1:pos:R:3 pbc="T T T"
Pm 0.000 0.000 0.000
Pm 2.048 2.048 5.423
Bi 0.000 0.000 3.546
Bi 2.048 2.048 8.970
Te 0.000 0.000 6.856
Te 2.048 2.048 1.433
```

- Magnetic moment: 0.000 Bohr magnetons per cell

---

*R*
PmBiTe: optimized geometry, GGA-PBE.

```
12
Lattice="16.639 0.000 0.000 0.000 3.364 0.000 0.000 0.000 7.691" Properties=species:S:1:pos:R:3 pbc="T T T"
Pm 0.000 0.000 0.000
Pm 0.000 1.682 3.846
Pm 8.320 0.000 2.407
Pm 8.320 1.682 6.252
Bi 5.817 0.000 0.037
Bi 5.817 1.682 3.882
Bi 10.822 0.000 0.037
Bi 10.822 1.682 3.882
Te 2.174 0.000 2.257
Te 2.174 1.682 6.103
Te 14.465 0.000 2.257
Te 14.465 1.682 6.103
```

- Magnetic moment: 0.566 Bohr magnetons per cell

---

Stability ranking, top entry: *Q*; the second entry is 27.1 kJ/mol of atoms less favorable.

---

*P*
Pm2ThBi: optimized geometry, GGA-PBE.

```
4
Lattice="5.069 0.000 0.000 0.000 5.069 0.000 0.000 0.000 4.767" Properties=species:S:1:pos:R:3 pbc="T T T"
Pm 0.000 2.535 0.000
Pm 2.535 0.000 0.000
Th 0.000 0.000 2.383
Bi 2.535 2.535 2.383
```

- Magnetic moment: 0.000 Bohr magnetons per cell

---

*Q*
Pm2ThBi: optimized geometry, GGA-PBE.

```
12
Lattice="3.595 0.000 0.000 -1.798 3.114 0.000 0.000 0.000 36.648" Properties=species:S:1:pos:R:3 pbc="T T T"
Pm 0.000 0.000 3.241
Pm 0.000 0.000 33.407
Pm 0.000 2.076 21.191
Pm 0.000 2.076 27.673
Pm 1.798 1.038 8.975
Pm 1.798 1.038 15.457
Th 0.000 0.000 18.324
Th 0.000 2.076 6.108
Th 1.798 1.038 30.540
Bi 0.000 0.000 0.000
Bi 0.000 2.076 24.432
Bi 1.798 1.038 12.216
```

- Magnetic moment: 0.000 Bohr magnetons per cell

---

Stability ranking, top entry: *P*; the second entry is 34.3 kJ/mol of atoms less favorable.

---

*P*
PmTh2Bi: optimized geometry, GGA-PBE.

```
4
Lattice="4.800 0.000 0.000 0.000 4.800 0.000 0.000 0.000 5.344" Properties=species:S:1:pos:R:3 pbc="T T T"
Pm 0.000 0.000 0.000
Th 0.000 2.400 2.672
Th 2.400 0.000 2.672
Bi 2.400 2.400 0.000
```

- Magnetic moment: 0.000 Bohr magnetons per cell

---

*Q*
PmTh2Bi: optimized geometry, GGA-PBE.

```
16
Lattice="7.976 0.000 0.000 0.000 7.976 0.000 0.000 0.000 7.976" Properties=species:S:1:pos:R:3 pbc="T T T"
Pm 0.000 0.000 0.000
Pm 0.000 3.988 3.988
Pm 3.988 0.000 3.988
Pm 3.988 3.988 0.000
Th 1.994 1.994 1.994
Th 1.994 1.994 5.982
Th 1.994 5.982 1.994
Th 1.994 5.982 5.982
Th 5.982 1.994 1.994
Th 5.982 1.994 5.982
Th 5.982 5.982 1.994
Th 5.982 5.982 5.982
Bi 0.000 0.000 3.988
Bi 0.000 3.988 0.000
Bi 3.988 0.000 0.000
Bi 3.988 3.988 3.988
```

- Magnetic moment: 0.005 Bohr magnetons per cell

---

Stability ranking, top entry: *P*; the second entry is 28.6 kJ/mol of atoms less favorable.

---

*P*
PmTiBi: optimized geometry, GGA-PBE.

```
9
Lattice="4.154 2.398 4.200 -4.154 2.398 4.200 0.000 -4.796 4.200" Properties=species:S:1:pos:R:3 pbc="T T T"
Pm 2.631 0.233 8.399
Pm -1.113 -2.395 8.399
Pm -1.518 2.162 8.399
Ti 0.000 0.000 1.254
Ti 0.000 0.000 6.285
Ti 0.000 0.000 11.360
Bi -2.887 -0.002 6.301
Bi 1.446 -2.499 6.301
Bi 1.442 2.502 6.301
```

- Magnetic moment: 3.592 Bohr magnetons per cell

---

*Q*
PmTiBi: optimized geometry, GGA-PBE.

```
6
Lattice="3.774 0.000 0.000 0.000 3.774 0.000 0.000 0.000 10.950" Properties=species:S:1:pos:R:3 pbc="T T T"
Pm 0.000 0.000 0.000
Pm 1.887 1.887 5.475
Ti 0.000 0.000 7.476
Ti 1.887 1.887 2.002
Bi 0.000 0.000 3.318
Bi 1.887 1.887 8.793
```

- Magnetic moment: 0.001 Bohr magnetons per cell

---

*R*
PmTiBi: optimized geometry, GGA-PBE.

```
3
Lattice="4.884 0.000 0.000 -2.442 4.230 0.000 0.000 0.000 3.981" Properties=species:S:1:pos:R:3 pbc="T T T"
Pm 0.000 0.000 0.000
Ti 0.000 2.820 1.991
Bi 2.442 1.410 1.991
```

- Magnetic moment: 2.011 Bohr magnetons per cell

---

Stability ranking, top entry: *Q*; the second entry is 6.4 kJ/mol of atoms less favorable.